Here is a geometry-optimized MgVH structure from Alexandria via LeMat-Bulk. Energies are from PBE-GGA.

Output
Calculated volume, Å³/f.u.: 37.1
Polymorph energy (0 for the lowest one), meV per atom: 94

The structure in extended XYZ format:
```
6
Lattice="3.8528 -3.1827 0.0000 3.8528 3.1827 0.0000 0.0000 0.0000 3.0294" Properties=species:S:1:pos:R:3 pbc="T T T"
H 3.8528 -1.9569 0.0000
H 3.8528 1.9569 0.0000
Mg 1.6133 0.0000 0.0000
Mg 6.0923 0.0000 0.0000
V 3.8528 1.0592 1.5147
V 3.8528 -1.0592 1.5147
```

---

Here is a geometry-optimized MgVH structure from Alexandria via LeMat-Bulk. Energies are from PBE-GGA.

Output
Calculated volume, Å³/f.u.: 36.4
Polymorph energy (0 for the lowest one), meV per atom: 43

The structure in extended XYZ format:
```
6
Lattice="-4.4748 -1.8686 4.6671 -1.6031 -1.7871 -2.2525 1.8201 -2.6179 0.7817" Properties=species:S:1:pos:R:3 pbc="T T T"
H 0.7769 -2.2194 1.2079
H -3.2183 -4.9912 3.8447
Mg -0.6076 -2.8269 2.6753
Mg -0.9183 -1.8960 -0.2478
V -3.4766 -2.8446 2.3255
V -2.4691 -3.5796 4.5972
```

---

Here is a geometry-optimized MgVH structure from Alexandria via LeMat-Bulk. Energies are from PBE-GGA.

Output
Calculated volume, Å³/f.u.: 49.3
Polymorph energy (0 for the lowest one), meV per atom: 1264

The structure in extended XYZ format:
```
6
Lattice="3.8817 -2.2411 0.0000 0.0000 4.4822 0.0000 0.0000 0.0000 5.6721" Properties=species:S:1:pos:R:3 pbc="T T T"
H 0.0000 0.0000 1.4180
H 0.0000 0.0000 4.2541
Mg 1.2939 2.2411 4.2541
Mg 2.5878 0.0000 1.4180
V 1.2939 2.2411 1.4180
V 2.5878 0.0000 4.2541
```

---

Here is a geometry-optimized MgVH structure from Alexandria via LeMat-Bulk. Energies are from PBE-GGA.

Output
Calculated volume, Å³/f.u.: 35.7
Polymorph energy (0 for the lowest one), meV per atom: 273

The structure in extended XYZ format:
```
6
Lattice="2.4841 -1.4342 0.0000 0.0000 2.8684 0.0000 0.0000 0.0000 10.0110" Properties=species:S:1:pos:R:3 pbc="T T T"
H 1.6561 0.0000 0.0000
H 1.6561 0.0000 5.0055
Mg 0.8280 1.4342 1.5163
Mg 0.8280 1.4342 8.4947
V 0.0000 0.0000 3.7925
V 0.0000 0.0000 6.2185
```

---

Here is a geometry-optimized MgVH structure from Alexandria via LeMat-Bulk. Energies are from PBE-GGA.

Output
Calculated volume, Å³/f.u.: 35.1
Polymorph energy (0 for the lowest one), meV per atom: 250

The structure in extended XYZ format:
```
6
Lattice="-0.4756 -3.6771 1.1949 3.4177 0.1631 1.8621 -2.1478 1.5157 3.8093" Properties=species:S:1:pos:R:3 pbc="T T T"
H 0.8506 0.6872 2.4533
H -1.5273 -0.9285 2.8845
Mg -1.0739 0.7578 1.9046
Mg 0.3972 -0.9992 3.4332
V 1.6523 0.1215 1.0314
V -2.3290 -0.3628 4.3064
```

---

Here is a geometry-optimized MgVH structure from Alexandria via LeMat-Bulk. Energies are from PBE-GGA.

Output
Calculated volume, Å³/f.u.: 40.7
Polymorph energy (0 for the lowest one), meV per atom: 188

The structure in extended XYZ format:
```
6
Lattice="4.6765 0.0000 -0.0033 0.0000 2.9632 0.0000 -0.9818 0.0000 5.8796" Properties=species:S:1:pos:R:3 pbc="T T T"
H 0.6220 0.0000 1.4191
H 0.4948 0.0000 5.0271
Mg 3.4914 0.0000 3.5027
Mg 3.3472 0.0000 0.5592
V 1.1659 1.4816 4.2510
V 1.1805 1.4816 2.2877
```

---

Here is a geometry-optimized MgVH structure from Alexandria via LeMat-Bulk. Energies are from PBE-GGA.

Output
Calculated volume, Å³/f.u.: 35.9
Polymorph energy (0 for the lowest one), meV per atom: 90

The structure in extended XYZ format:
```
6
Lattice="2.8243 -0.0658 0.0062 0.4036 5.1994 -0.0009 -0.0149 -0.0054 4.8800" Properties=species:S:1:pos:R:3 pbc="T T T"
H 1.6243 4.0096 1.5734
H 1.2794 0.6570 2.8261
Mg 1.1935 0.7202 4.8400
Mg 2.8251 3.2550 4.7146
V 1.4590 2.3624 2.3230
V 3.0702 4.8495 2.3443
```

---

Here is a geometry-optimized MgVH structure from Alexandria via LeMat-Bulk. Energies are from PBE-GGA.

Output
Calculated volume, Å³/f.u.: 36.7
Polymorph energy (0 for the lowest one), meV per atom: 42

The structure in extended XYZ format:
```
6
Lattice="-1.9018 -1.8364 1.9139 -0.2438 -2.2443 -2.4019 5.2146 -5.4895 0.0820" Properties=species:S:1:pos:R:3 pbc="T T T"
H -0.8739 -3.3093 1.3007
H 2.9655 -6.0789 -1.0313
Mg 0.5691 -6.5026 -0.3931
Mg -0.1063 -3.4798 -0.8884
V 2.8492 -7.9549 0.7379
V 3.0791 -5.3927 0.5777
```

---

Here is a geometry-optimized Mg2VH6 structure from Alexandria via LeMat-Bulk. Energies are from PBE-GGA.

Output
Calculated volume, Å³/f.u.: 67.8
Polymorph energy (0 for the lowest one), meV per atom: 0

The structure in extended XYZ format:
```
9
Lattice="2.9971 -0.0003 -0.9689 -0.6713 3.9841 -2.0777 0.1152 0.2854 5.4773" Properties=species:S:1:pos:R:3 pbc="T T T"
Mg 0.8643 1.5404 2.6746
Mg 1.5767 2.7289 -0.2439
V 0.0000 0.0000 0.0000
H 2.5547 0.5040 2.7842
H 0.2435 1.6453 0.7521
H -0.1137 3.7652 -0.3535
H 1.3527 0.8656 -0.9360
H 2.1975 2.6240 1.6786
H 0.9731 3.1182 -2.1107
```

---

Here is a geometry-optimized MgVH structure from Alexandria via LeMat-Bulk. Energies are from PBE-GGA.

Output
Calculated volume, Å³/f.u.: 36.9
Polymorph energy (0 for the lowest one), meV per atom: 25

The structure in extended XYZ format:
```
6
Lattice="-1.2715 1.5378 -2.6181 -2.3175 -2.4087 -0.2893 -2.8102 1.9078 6.6253" Properties=species:S:1:pos:R:3 pbc="T T T"
H -1.5908 -0.5131 0.7523
H -3.5434 0.9020 4.6102
Mg -2.8376 0.5371 1.9784
Mg -3.3643 -0.9697 -0.7188
V -4.5645 1.9953 3.6789
V -4.4096 -0.5488 4.1743
```

---

Here is a geometry-optimized Mg3V5H12 structure from Alexandria via LeMat-Bulk. Energies are from PBE-GGA.

Output
Calculated volume, Å³/f.u.: 159.6

The structure in extended XYZ format:
```
80
Lattice="-7.9224 4.3873 2.5045 -0.4218 -8.9970 2.6762 7.3311 4.1616 4.1499" Properties=species:S:1:pos:R:3 pbc="T T T"
Mg -5.1836 0.4368 3.4006
Mg -6.3321 -2.3886 4.7173
Mg 1.2947 -2.5015 5.5400
Mg 0.7158 1.5328 2.5168
Mg -5.1520 3.7547 3.5634
Mg -1.4018 -2.9375 3.6492
Mg 0.3886 2.4894 5.6812
Mg 4.1389 -4.2027 5.7671
Mg -1.7289 -1.9809 6.8136
Mg -2.3078 2.0534 3.7905
Mg 5.3190 1.9406 4.6132
Mg 4.1705 -0.8849 5.9298
V 0.6843 -1.7850 2.3541
V -0.2109 -4.4985 1.3381
V 0.0000 0.0000 0.0000
V -2.1600 -0.0838 2.1269
V -0.2956 4.2744 3.3272
V -4.1721 -2.3048 2.5903
V 1.4425 -4.6387 3.8764
V 0.4202 5.8073 5.8440
V -3.4563 -0.7720 5.1071
V 2.4747 3.6418 4.3861
V -3.4878 -4.0899 4.9444
V -0.5066 -0.2240 4.6652
V -3.9612 2.1937 1.2522
V 3.6655 2.0808 2.0749
V 2.4432 0.3240 4.2233
V -1.4333 -6.2553 3.4865
V 3.4546 -2.4177 3.4130
V -2.4556 4.1907 5.4541
V 1.1469 -0.3643 7.2035
V -1.6974 1.3370 6.9764
H -5.3396 2.0958 2.3489
H 0.1200 -1.7423 4.0215
H -5.5772 2.1043 4.5524
H -3.4341 1.0707 2.5066
H 0.0048 -1.1197 6.0965
H -6.5903 -0.4369 4.6333
H 0.1133 -3.8467 4.7168
H -0.0865 -7.3671 3.2620
H -0.1984 -3.2212 6.7707
H -4.6846 -1.3734 3.9981
H -3.7715 0.9096 4.6911
H -6.6593 -4.3316 4.7380
H 2.6396 -3.5208 4.5226
H -2.5029 -1.7995 2.3246
H 1.6850 -6.3631 4.1372
H 0.8869 3.0829 3.8695
H 0.8876 -0.2572 1.5028
H -3.2114 -3.6189 3.2704
H -4.9062 -3.4493 5.7679
H -0.6156 -2.8576 1.8441
H 2.4986 -3.6848 6.7283
H -1.8119 -1.3787 4.9392
H -3.5571 -1.2456 6.8000
H 0.3925 4.2768 6.7142
H 0.7988 0.9307 4.3912
H 2.5439 0.7975 2.5304
H -1.4056 -4.7249 2.6162
H 3.8931 3.0013 3.5626
H -3.5117 3.2367 2.6022
H -0.3975 2.4096 7.4864
H 2.1983 3.1708 6.0600
H -1.9000 -3.5310 5.4609
H -1.9007 -0.1909 7.8277
H -2.6981 5.9150 5.1933
H -3.6527 3.0727 4.8079
H 5.6461 3.8836 4.5925
H 1.4898 1.3515 7.0058
H -0.8147 2.7731 2.5598
H 3.6715 0.9253 5.3323
H 2.7584 -1.3577 4.6393
H -0.9266 6.9190 6.0684
H -1.1264 3.3987 4.6136
H 2.4210 -1.5188 6.8239
H 5.5772 -0.0111 4.6971
H -1.0179 0.6716 3.2340
H 4.5641 -2.5523 4.7780
H -1.1331 1.2942 5.3090
H 4.3265 -2.5439 6.9816
```

---

Here is a geometry-optimized MgVH structure from Alexandria via LeMat-Bulk. Energies are from PBE-GGA.

Output
Calculated volume, Å³/f.u.: 36.5
Polymorph energy (0 for the lowest one), meV per atom: 81

The structure in extended XYZ format:
```
6
Lattice="-2.6265 0.2186 13.2017 -2.8000 -1.3142 4.5047 2.4177 -1.8740 -4.5280" Properties=species:S:1:pos:R:3 pbc="T T T"
H -0.2782 -1.6157 4.3686
H 1.1196 -1.7594 1.0952
Mg -1.2992 -1.5297 9.3565
Mg 0.7507 -1.7011 -0.8294
V -0.8412 -1.5610 6.1257
V 0.2785 -1.6698 2.6311
```

---

Per-record total DFT energy (no corrections), eV per formula unit: -13.86 -14.02 -10.35 -13.33 -13.39 -13.58 -13.88 -14.02 -33.76 -14.07 -91.46 -13.90